First-principles (GGA-PBE) data for a geometry-optimized BeTc2Ni structure, as listed in Alexandria.

The structure belongs to space group I-4m2 (No. 119); the cell edges are 3.593, 3.593 and 7.600 Å and the angles 90.00°, 90.00° and 90.00°. The distinct sites, in fractional coordinates, are Be at (0.000, 0.000, 0.000), Tc at (0.000, 0.000, 0.500), Tc at (0.000, 0.500, 0.250) and Ni at (0.000, 0.500, 0.750).

The calculation puts the total magnetization at 0.000 Bohr magnetons per cell. The total energy comes out at -60.73 eV per cell. The value obtained for the density of states at the Fermi level is 0.856 states/eV per atom.